(1)
{"formula": "BaPrAg", "functional": "PBE", "state": "optimized geometry", "lattice": [[5.314, 0.000, 0.000], [-2.657, 4.602, 0.000], [0.000, 0.000, 4.476]], "species": ["Ba", "Pr", "Ag"], "fractional_positions": [[0.000, 0.000, 0.000], [0.333, 0.667, 0.525], [0.667, 0.333, 0.431]], "delta_e_f_ev_per_fu": 0.2, "e_tot_ha_per_atom": -0.1147, "magnetic_moment_mub_per_cell": 0.00, "relative_energy_ev_per_atom": 0.1390}

---

(2)
{"formula": "PrGa9Fe2", "functional": "PBE", "state": "optimized geometry", "lattice": [[7.971, 0.000, 0.000], [-3.986, 6.903, 0.000], [0.000, 0.000, 3.782]], "species": ["Pr", "Ga", "Ga", "Ga", "Ga", "Ga", "Ga", "Ga", "Ga", "Ga", "Fe", "Fe"], "fractional_positions": [[0.000, 0.000, 0.000], [0.000, 0.500, 0.000], [0.206, 0.412, 0.500], [0.206, 0.794, 0.500], [0.412, 0.206, 0.500], [0.500, 0.000, 0.000], [0.500, 0.500, 0.000], [0.588, 0.794, 0.500], [0.794, 0.206, 0.500], [0.794, 0.588, 0.500], [0.333, 0.667, 0.000], [0.667, 0.333, 0.000]], "delta_e_f_ev_per_fu": -3.1, "e_tot_ha_per_atom": -0.1593, "magnetic_moment_mub_per_cell": 0.00}

---

(3)
{"formula": "SrCo2I", "functional": "PBE", "state": "optimized geometry", "lattice": [[-2.436, 2.436, 8.310], [2.436, -2.436, 8.310], [2.436, 2.436, -8.310]], "species": ["Sr", "Sr", "Co", "Co", "Co", "Co", "I", "I"], "fractional_positions": [[0.375, 0.625, 0.750], [0.625, 0.375, 0.250], [0.000, 0.000, 0.000], [0.000, 0.000, 0.500], [0.000, 0.500, 0.000], [0.500, 0.000, 0.500], [0.125, 0.875, 0.250], [0.875, 0.125, 0.750]], "e_tot_ha_per_atom": -0.1470, "e_form_raw_mev_per_atom": 360.5, "magnetic_moment_mub_per_cell": 2.27, "relative_energy_ev_per_atom": 0.0000}